[1]
This record from Alexandria via LeMat-Bulk describes a relaxed structure of RbSc2MnIr. The functional is PBE.

Results
For the total magnetization, the calculation gives 4.3 μB/cell. The value obtained for the density of states at the Fermi level is 4.81 states/eV per cell. As for the total energy: -0.20996 hartree per atom. The formation energy is 298.6 kJ/mol of formula units. Its space-group type is P4/mmm. The volume is 159 Å³ per cell.

Cell: 5.0360 5.0360 6.2546 Å, 90.00 90.00 90.00°
Atoms (fractional coordinates):
Rb 0.0000 0.0000 0.0000
Sc 0.0000 0.5000 0.5000
Sc 0.5000 0.0000 0.5000
Mn 0.5000 0.5000 0.0000
Ir 0.0000 0.0000 0.5000


[2]
This record from Alexandria via LeMat-Bulk describes a relaxed structure of Rb2MnSiIr. The functional is PBE.

Results
For the total magnetization, the calculation gives 5.9 μB/cell. The value obtained for the density of states at the Fermi level is 2.56 states/eV per cell. As for the total energy: -0.13699 hartree per atom. Its space-group type is P4/mmm. The volume is 203 Å³ per cell.

Cell: 6.6575 6.6575 4.5733 Å, 90.00 90.00 90.00°
Atoms (fractional coordinates):
Rb 0.0000 0.5000 0.0000
Rb 0.5000 0.0000 0.0000
Mn 0.0000 0.0000 0.0000
Si 0.0000 0.0000 0.5000
Ir 0.5000 0.5000 0.5000


[3]
This record from Alexandria via LeMat-Bulk describes a relaxed structure of RbMnSnIr2. The functional is PBE.

Results
For the total magnetization, the calculation gives 0.0 μB/cell. The value obtained for the density of states at the Fermi level is 4.47 states/eV per cell. As for the total energy: -0.20136 hartree per atom. The formation energy is 430.8 kJ/mol of formula units. Its space-group type is P4/mmm. The volume is 110 Å³ per cell.

Cell: 4.6988 4.6988 4.9719 Å, 90.00 90.00 90.00°
Atoms (fractional coordinates):
Rb 0.0000 0.0000 0.0000
Mn 0.5000 0.5000 0.5000
Sn 0.5000 0.5000 0.0000
Ir 0.0000 0.5000 0.5000
Ir 0.5000 0.0000 0.5000


[4]
This record from Alexandria via LeMat-Bulk describes a relaxed structure of RbMnTeIr2. The functional is PBE.

Results
For the total magnetization, the calculation gives 0.7 μB/cell. The value obtained for the density of states at the Fermi level is 6.42 states/eV per cell. As for the total energy: -0.19307 hartree per atom. Its space-group type is P4/mmm. The volume is 113 Å³ per cell.

Cell: 4.7001 4.7001 5.1184 Å, 90.00 90.00 90.00°
Atoms (fractional coordinates):
Rb 0.0000 0.0000 0.0000
Mn 0.5000 0.5000 0.5000
Te 0.5000 0.5000 0.0000
Ir 0.0000 0.5000 0.5000
Ir 0.5000 0.0000 0.5000


[5]
This record from Alexandria via LeMat-Bulk describes a relaxed structure of RbMn2TeIr. The functional is PBE.

Results
For the total magnetization, the calculation gives 10.0 μB/cell. The value obtained for the density of states at the Fermi level is 3.43 states/eV per cell. As for the total energy: -0.20164 hartree per atom. Its space-group type is P4/mmm. The volume is 146 Å³ per cell.

Cell: 4.9998 4.9998 5.8460 Å, 90.00 90.00 90.00°
Atoms (fractional coordinates):
Rb 0.0000 0.0000 0.0000
Mn 0.0000 0.5000 0.5000
Mn 0.5000 0.0000 0.5000
Te 0.5000 0.5000 0.0000
Ir 0.0000 0.0000 0.5000


[6]
This record from Alexandria via LeMat-Bulk describes a relaxed structure of RbMn2TlIr. The functional is PBE.

Results
For the total magnetization, the calculation gives 9.0 μB/cell. The value obtained for the density of states at the Fermi level is 4.55 states/eV per cell. As for the total energy: -0.17714 hartree per atom. The formation energy is 620.7 kJ/mol of formula units. Its space-group type is P4/mmm. The volume is 145 Å³ per cell.

Cell: 5.2752 5.2752 5.2252 Å, 90.00 90.00 90.00°
Atoms (fractional coordinates):
Rb 0.0000 0.0000 0.0000
Mn 0.0000 0.5000 0.5000
Mn 0.5000 0.0000 0.5000
Tl 0.5000 0.5000 0.5000
Ir 0.5000 0.5000 0.0000


[7]
This record from Alexandria via LeMat-Bulk describes a relaxed structure of Rb2MnZnIr. The functional is PBE.

Results
For the total magnetization, the calculation gives 5.0 μB/cell. The value obtained for the density of states at the Fermi level is 6.27 states/eV per cell. As for the total energy: -0.11910 hartree per atom. The formation energy is 485.9 kJ/mol of formula units. Its space-group type is P4/mmm. The volume is 201 Å³ per cell.

Cell: 6.4265 6.4265 4.8596 Å, 90.00 90.00 90.00°
Atoms (fractional coordinates):
Rb 0.0000 0.5000 0.0000
Rb 0.5000 0.0000 0.0000
Mn 0.0000 0.0000 0.5000
Zn 0.5000 0.5000 0.5000
Ir 0.5000 0.5000 0.0000


[8]
This record from Alexandria via LeMat-Bulk describes a relaxed structure of MnReIr2. The functional is PBE.

Results
For the total magnetization, the calculation gives 1.0 μB/cell. The value obtained for the density of states at the Fermi level is 2.92 states/eV per cell. As for the total energy: -0.36702 hartree per atom. As for the relative energy among the computed polymorphs: 5.09 kJ/mol of atoms. The formation energy is -58.7 kJ/mol of formula units. Its space-group type is P4/mmm. The volume is 56 Å³ per cell.

Cell: 3.8277 3.8277 3.8099 Å, 90.00 90.00 90.00°
Atoms (fractional coordinates):
Mn 0.0000 0.0000 0.0000
Re 0.5000 0.5000 0.0000
Ir 0.0000 0.5000 0.5000
Ir 0.5000 0.0000 0.5000


[9]
This record from Alexandria via LeMat-Bulk describes a relaxed structure of Mn2ReIr. The functional is PBE.

Results
For the total magnetization, the calculation gives 4.9 μB/cell. The value obtained for the density of states at the Fermi level is 20.82 states/eV per cell. As for the total energy: -0.31843 hartree per atom. The formation energy is 481.3 kJ/mol of formula units. Its space-group type is I-42d. The volume is 297 Å³ per cell.

Cell: 5.4648 5.4648 9.9352 Å, 90.00 90.00 90.00°
Atoms (fractional coordinates):
Mn 0.2463 0.2500 0.1250
Mn 0.2500 0.7463 0.3750
Mn 0.2500 0.7537 0.8750
Mn 0.2537 0.2500 0.6250
Mn 0.7463 0.7500 0.6250
Mn 0.7500 0.2463 0.8750
Mn 0.7500 0.2537 0.3750
Mn 0.7537 0.7500 0.1250
Re 0.0000 0.0000 0.5000
Re 0.0000 0.5000 0.7500
Re 0.5000 0.0000 0.2500
Re 0.5000 0.5000 0.0000
Ir 0.0000 0.0000 0.0000
Ir 0.0000 0.5000 0.2500
Ir 0.5000 0.0000 0.7500
Ir 0.5000 0.5000 0.5000


[10]
This record from Alexandria via LeMat-Bulk describes a relaxed structure of Mn2ReIr. The functional is PBE.

Results
For the total magnetization, the calculation gives 0.1 μB/cell. The value obtained for the density of states at the Fermi level is 3.03 states/eV per cell. As for the total energy: -0.36766 hartree per atom. The formation energy is -35.7 kJ/mol of formula units. Its space-group type is P2/m. The volume is 54 Å³ per cell.

Cell: 4.5521 2.6945 4.6929 Å, 90.00 110.00 90.00°
Atoms (fractional coordinates):
Mn 0.0000 0.0000 0.0000
Mn 0.0000 0.5000 0.5000
Re 0.5000 0.0000 0.5000
Ir 0.5000 0.5000 0.0000


[11]
This record from Alexandria via LeMat-Bulk describes a relaxed structure of MnReIr3. The functional is PBE.

Results
For the total magnetization, the calculation gives 2.5 μB/cell. The value obtained for the density of states at the Fermi level is 6.83 states/eV per cell. As for the total energy: -0.29130 hartree per atom. As for the relative energy among the computed polymorphs: 0.00 kJ/mol of atoms. The formation energy is 826.6 kJ/mol of formula units. Its space-group type is Pm-3m. The volume is 85 Å³ per cell.

Cell: 4.4011 4.4011 4.4011 Å, 90.00 90.00 90.00°
Atoms (fractional coordinates):
Mn 0.0000 0.0000 0.0000
Re 0.5000 0.5000 0.5000
Ir 0.0000 0.0000 0.5000
Ir 0.0000 0.5000 0.0000
Ir 0.5000 0.0000 0.0000


[12]
This record from Alexandria via LeMat-Bulk describes a relaxed structure of MnReIr2. The functional is PBE.

Results
For the total magnetization, the calculation gives 0.0 μB/cell. The value obtained for the density of states at the Fermi level is 3.87 states/eV per cell. As for the total energy: -0.36362 hartree per atom. As for the relative energy among the computed polymorphs: 14.00 kJ/mol of atoms. The formation energy is -23.1 kJ/mol of formula units. Its space-group type is P4mm. The volume is 55 Å³ per cell.

Cell: 2.7029 2.7029 7.5659 Å, 90.00 90.00 90.00°
Atoms (fractional coordinates):
Mn 0.0000 0.0000 0.0000
Re 0.5000 0.5000 0.2514
Ir 0.0000 0.0000 0.5014
Ir 0.5000 0.5000 0.7787